The following is a DFT calculation (PBE-GGA) of a relaxed structure of BeGePd.

```
BeGePd
1.0
-1.6988 -2.8020 3.2841
3.4275 1.1722 2.7730
-4.3606 6.0678 2.8248
Be Ge Pd
4 4 4
direct
0.0903 0.2450 0.0174
0.0903 0.7550 0.0174
0.0903 0.7450 0.5174
0.0903 0.2550 0.5174
0.0548 0.0000 0.2664
0.0548 0.5000 0.7664
0.5880 0.0000 0.4581
0.5880 0.5000 0.9581
0.2945 0.0000 0.7694
0.2945 0.5000 0.2694
0.5883 0.0000 0.0981
0.5883 0.5000 0.5981
```

Magnetic moment = 0.0 μB/f.u.
Energy = -4.715 eV/atom
Energy above the most stable polymorph in this dataset = 24 meV/atom
Energy relative to the elements = -59 kJ/mol of formula units
Space group = No. 8

---

The following is a DFT calculation (PBE-GGA) of a relaxed structure of BeGePd.

```
BeGePd
1.0
-0.8683 -0.7921 -4.1435
4.2452 -1.6538 -0.6854
-1.3174 -4.4158 -0.9034
Be Ge Pd
2 2 2
direct
0.7771 0.1478 0.3946
0.1824 0.8810 0.5333
0.0823 0.3394 0.8329
0.6500 0.8825 0.0260
0.6759 0.6409 0.5668
0.3325 0.3620 0.2403
```

Magnetic moment = 0.0 μB/f.u.
Energy = -4.694 eV/atom
Energy above the most stable polymorph in this dataset = 45 meV/atom
Energy relative to the elements = -53 kJ/mol of formula units
Space group = No. 1

---

The following is a DFT calculation (PBE-GGA) of a relaxed structure of BeGePd.

```
BeGePd
1.0
-2.4970 1.2328 1.4600
0.6869 -1.7863 2.6831
4.4414 5.7830 2.7130
Be Ge Pd
2 2 2
direct
0.0000 0.5000 0.2024
0.5000 0.0000 0.7024
0.0000 0.5000 0.5246
0.5000 0.0000 0.0246
0.0000 0.5000 0.8478
0.5000 0.0000 0.3478
```

Magnetic moment = 0.0 μB/f.u.
Energy = -4.712 eV/atom
Energy above the most stable polymorph in this dataset = 27 meV/atom
Energy relative to the elements = -58 kJ/mol of formula units
Space group = No. 44

---

The following is a DFT calculation (PBE-GGA) of a relaxed structure of Pm2BeGe3Pd4.

```
Pm2BeGe3Pd4
1.0
4.2719 0.0000 0.0000
0.0000 4.2719 0.0000
0.0000 0.0000 10.0878
Pm Be Ge Pd
2 1 3 4
direct
0.5000 0.0000 0.2573
0.0000 0.5000 0.7427
0.5000 0.5000 0.5000
0.0000 0.0000 0.5000
0.5000 0.0000 0.8620
0.0000 0.5000 0.1380
0.5000 0.5000 0.0000
0.0000 0.0000 0.0000
0.5000 0.0000 0.6174
0.0000 0.5000 0.3826
```

Magnetic moment = 0.0 μB/f.u.
Energy = -5.552 eV/atom
Energy relative to the elements = -740 kJ/mol of formula units
Space group = No. 115